Entry 1:
Below is crystalline TbMgGe2 at its relaxed geometry, with properties calculated at the GGA-PBE level.

abc: 4.4917 4.4917 4.0955
angles: 90.00 90.00 90.00
Closest atoms and distances in Å follow each position.
Sites, in units of the cell vectors:
Tb (0.0000, 0.0000, 0.0000)  8 Ge 3.04, 4 Mg 3.18
Mg (0.5000, 0.5000, 0.0000)  8 Ge 3.04, 4 Tb 3.18
Ge (0.0000, 0.5000, 0.5000)  4 Tb 3.04, 4 Mg 3.04, 4 Ge 3.18
Ge (0.5000, 0.0000, 0.5000)  4 Tb 3.04, 4 Mg 3.04, 4 Ge 3.18

Results
E above lowest polymorph in meV per atom: 3
Space group: P4/mmm
Electronic total energy in eV/atom: -4.35
ΔH_f (0 K) in kJ/mol of formula units: -187

***

Entry 2:
Below is crystalline Al2MoSe at its relaxed geometry, with properties calculated at the GGA-PBE level.

abc: 7.9253 7.9253 7.9253
angles: 23.25 23.25 23.25
Closest atoms and distances in Å follow each position.
Sites, in units of the cell vectors:
Al (0.2482, 0.2482, 0.2482)  3 Se 2.64, 3 Mo 2.70
Al (0.7518, 0.7518, 0.7518)  3 Se 2.64, 3 Mo 2.70
Mo (0.0000, 0.0000, 0.0000)  6 Al 2.70
Se (0.5000, 0.5000, 0.5000)  6 Al 2.64

Results
Space group: R-3m
Electronic total energy in eV/atom: -5.43
Formation energy (no corrections) in eV per atom: 0.015

***

Entry 3:
Below is crystalline RbTiBi3 at its relaxed geometry, with properties calculated at the GGA-PBE level.

abc: 5.5568 5.5568 5.5568
angles: 90.00 90.00 90.00
Closest atoms and distances in Å follow each position.
Sites, in units of the cell vectors:
Rb (0.0000, 0.0000, 0.0000)  12 Bi 3.93
Ti (0.5000, 0.5000, 0.5000)  6 Bi 2.78
Bi (0.0000, 0.5000, 0.5000)  2 Ti 2.78
Bi (0.5000, 0.0000, 0.5000)  2 Ti 2.78
Bi (0.5000, 0.5000, 0.0000)  2 Ti 2.78

Results
E above lowest polymorph in meV per atom: 0
Space group: Pm-3m
Electronic total energy in eV/atom: -4.20
ΔH_f (0 K) in kJ/mol of formula units: -50

***

Entry 4:
Below is crystalline Li2CdCl at its relaxed geometry, with properties calculated at the GGA-PBE level.

abc: 6.1667 6.1667 6.1667
angles: 110.62 110.62 107.21
Closest atoms and distances in Å follow each position.
Sites, in units of the cell vectors:
Li (0.0567, 0.6250, 0.9317)  2 Cl 2.35
Li (0.3750, 0.3067, 0.4317)  2 Cl 2.35
Li (0.6933, 0.1250, 0.0683)  2 Cl 2.35
Li (0.8750, 0.9433, 0.5683)  2 Cl 2.35
Cd (0.2500, 0.7500, 0.5000)  4 Li 2.98
Cd (0.5000, 0.5000, 0.0000)  4 Li 2.98
Cl (0.0000, 0.0000, 0.0000)  4 Li 2.35
Cl (0.7500, 0.2500, 0.5000)  4 Li 2.35

Results
E above lowest polymorph in meV per atom: 146
Space group: I-42d
Electronic total energy in eV/atom: -2.37
Formation energy (no corrections) in eV per atom: -0.726

***

Entry 5:
Below is crystalline NdTiS2 at its relaxed geometry, with properties calculated at the GGA-PBE level.

abc: 8.6277 8.6277 8.6277
angles: 23.93 23.93 23.93
Closest atoms and distances in Å follow each position.
Sites, in units of the cell vectors:
Nd (0.0000, 0.0000, 0.0000)  2 S 2.80
Ti (0.5000, 0.5000, 0.5000)  6 S 2.49
S (0.1113, 0.1113, 0.1113)  3 Ti 2.49
S (0.8887, 0.8887, 0.8887)  3 Ti 2.49

Results
Space group: R-3m
Electronic total energy in eV/atom: -6.35
Formation energy (no corrections) in eV per atom: -1.117

***

Entry 6:
Below is crystalline AcPm2HoAs4 at its relaxed geometry, with properties calculated at the GGA-PBE level.

abc: 7.4256 4.2907 7.4306
angles: 90.00 109.37 90.00
Closest atoms and distances in Å follow each position.
Sites, in units of the cell vectors:
Ac (0.0000, 0.0000, 0.0000)  6 As 3.09-3.10
Pm (0.0000, 0.5000, 0.5000)  6 As 3.07
Pm (0.5000, 0.0000, 0.5000)  6 As 2.97
Ho (0.5000, 0.5000, 0.0000)  6 As 3.00
As (0.2607, 0.0000, 0.7503)  3 Pm 2.97-3.07, 2 Ho 3.00, 1 Ac 3.09
As (0.2638, 0.5000, 0.2580)  3 Pm 2.97-3.07, 1 Ho 3.00, 2 Ac 3.10
As (0.7362, 0.5000, 0.7420)  3 Pm 2.97-3.07, 1 Ho 3.00, 2 Ac 3.10
As (0.7393, 0.0000, 0.2497)  3 Pm 2.97-3.07, 2 Ho 3.00, 1 Ac 3.09

Results
Space group: P2/m
Electronic total energy in eV/atom: -6.07
ΔH_f (0 K) in kJ/mol of formula units: -1136

***

Entry 7:
Below is crystalline Na2CdHgO4 at its relaxed geometry, with properties calculated at the GGA-PBE level.

abc: 6.0502 3.2869 6.2068
angles: 90.00 114.80 90.00
Closest atoms and distances in Å follow each position.
Sites, in units of the cell vectors:
Na (0.0000, 0.0000, 0.0000)  6 O 2.46-2.54
Na (0.0000, 0.5000, 0.5000)  6 O 2.41-2.48
Cd (0.5000, 0.0000, 0.5000)  4 O 2.22
Hg (0.5000, 0.5000, 0.0000)  4 O 2.19
O (0.2594, 0.5000, 0.2923)  2 Cd 2.22, 3 Na 2.41-2.46
O (0.2762, 0.0000, 0.7852)  2 Hg 2.19
O (0.7238, 0.0000, 0.2148)  2 Hg 2.19
O (0.7406, 0.5000, 0.7077)  2 Cd 2.22, 3 Na 2.41-2.46

Results
Space group: P2/m
Electronic total energy in eV/atom: -3.75
Formation energy (no corrections) in eV per atom: -0.789

***

Entry 8:
Below is crystalline CdHg2Ge2 at its relaxed geometry, with properties calculated at the GGA-PBE level.

abc: 8.9014 8.9014 8.9014
angles: 155.78 155.78 34.52
Closest atoms and distances in Å follow each position.
Sites, in units of the cell vectors:
Cd (0.0000, 0.0000, 0.0000)  8 Hg 3.13
Hg (0.4007, 0.4007, 0.0000)  4 Cd 3.13, 4 Ge 3.17, 1 Hg 3.37
Hg (0.5993, 0.5993, 0.0000)  4 Cd 3.13, 4 Ge 3.17, 1 Hg 3.37
Ge (0.2500, 0.7500, 0.5000)  4 Ge 2.64
Ge (0.7500, 0.2500, 0.5000)  4 Ge 2.64

Results
E above lowest polymorph in meV per atom: 1
Space group: I4/mmm
Electronic total energy in eV/atom: -1.94
ΔH_f (0 K) in kJ/mol of formula units: 101

***

Entry 9:
Below is crystalline LiIrW at its relaxed geometry, with properties calculated at the GGA-PBE level.

abc: 4.1506 4.1506 4.1506
angles: 60.00 60.00 60.00
Closest atoms and distances in Å follow each position.
Sites, in units of the cell vectors:
Li (0.0000, 0.0000, 0.0000)  4 Ir 2.54
Ir (0.7500, 0.7500, 0.7500)  4 W 2.54, 4 Li 2.54
W (0.5000, 0.5000, 0.5000)  4 Ir 2.54

Results
E above lowest polymorph in meV per atom: 312
Space group: F-43m
Electronic total energy in eV/atom: -7.58
ΔH_f (0 K) in kJ/mol of formula units: 95

***

Entry 10:
Below is crystalline PmTeAs at its relaxed geometry, with properties calculated at the GGA-PBE level.

abc: 4.9338 4.9338 4.1341
angles: 90.00 90.00 120.00
Closest atoms and distances in Å follow each position.
Sites, in units of the cell vectors:
Pm (0.0000, 0.0000, 0.0000)  3 As 2.85
Te (0.6667, 0.3333, 0.5000)  6 Pm 3.52, 6 As 3.52
As (0.3333, 0.6667, 0.0000)  3 Pm 2.85

Results
E above lowest polymorph in meV per atom: 582
Space group: P-6m2
Electronic total energy in eV/atom: -4.79
Formation energy (no corrections) in eV per atom: -0.605

***

Entry 11:
Below is crystalline Cd8Hg2Bi at its relaxed geometry, with properties calculated at the GGA-PBE level.

abc: 7.5975 7.5975 6.2090
angles: 99.76 99.76 121.48
Closest atoms and distances in Å follow each position.
Sites, in units of the cell vectors:
Cd (0.0771, 0.3125, 0.6911)  2 Hg 2.97-3.05, 5 Cd 3.02-3.23, 1 Bi 3.18
Cd (0.2420, 0.7580, 0.0000)  4 Cd 3.04-3.23, 1 Bi 3.21, 2 Hg 3.23
Cd (0.3125, 0.0771, 0.6911)  2 Hg 2.97-3.05, 5 Cd 3.02-3.23, 1 Bi 3.18
Cd (0.4380, 0.4380, 0.2195)  2 Hg 3.01, 4 Cd 3.02-3.28, 1 Bi 3.06
Cd (0.5620, 0.5620, 0.7805)  2 Hg 3.01, 4 Cd 3.02-3.28, 1 Bi 3.06
Cd (0.6875, 0.9229, 0.3089)  2 Hg 2.97-3.05, 5 Cd 3.02-3.23, 1 Bi 3.18
Cd (0.7580, 0.2420, 0.0000)  4 Cd 3.04-3.23, 1 Bi 3.21, 2 Hg 3.23
Cd (0.9229, 0.6875, 0.3089)  2 Hg 2.97-3.05, 5 Cd 3.02-3.23, 1 Bi 3.18
Hg (0.3099, 0.6901, 0.5000)  8 Cd 2.97-3.23
Hg (0.6901, 0.3099, 0.5000)  8 Cd 2.97-3.23
Bi (0.0000, 0.0000, 0.0000)  8 Cd 3.06-3.21

Results
E above lowest polymorph in meV per atom: 21
Space group: C2/m
Electronic total energy in eV/atom: -1.00
ΔH_f (0 K) in kJ/mol of formula units: 75

***

Entry 12:
Below is crystalline Ce9AlIn2 at its relaxed geometry, with properties calculated at the GGA-PBE level.

abc: 4.7615 4.7615 14.2905
angles: 90.00 90.00 90.00
Closest atoms and distances in Å follow each position.
Sites, in units of the cell vectors:
Ce (0.0000, 0.0000, 0.0000)  8 Ce 3.30, 4 Al 3.37
Ce (0.0000, 0.0000, 0.3291)  4 In 3.37, 8 Ce 3.40-3.41
Ce (0.0000, 0.0000, 0.6709)  4 In 3.37, 8 Ce 3.40-3.41
Ce (0.0000, 0.5000, 0.1597)  8 Ce 3.30-3.40, 2 Al 3.30, 2 In 3.41
Ce (0.0000, 0.5000, 0.5000)  8 Ce 3.37-3.41, 4 In 3.40
Ce (0.0000, 0.5000, 0.8403)  8 Ce 3.30-3.40, 2 Al 3.30, 2 In 3.41
Ce (0.5000, 0.0000, 0.1597)  8 Ce 3.30-3.40, 2 Al 3.30, 2 In 3.41
Ce (0.5000, 0.0000, 0.5000)  8 Ce 3.37-3.41, 4 In 3.40
Ce (0.5000, 0.0000, 0.8403)  8 Ce 3.30-3.40, 2 Al 3.30, 2 In 3.41
Al (0.5000, 0.5000, 0.0000)  12 Ce 3.30-3.37
In (0.5000, 0.5000, 0.3305)  12 Ce 3.37-3.41
In (0.5000, 0.5000, 0.6695)  12 Ce 3.37-3.41

Results
Space group: P4/mmm
Electronic total energy in eV/atom: -5.40
ΔH_f (0 K) in kJ/mol of formula units: -209

***

Entry 13:
Below is crystalline TeIr2Cl at its relaxed geometry, with properties calculated at the GGA-PBE level.

abc: 4.6511 4.6511 4.6511
angles: 60.00 60.00 60.00
Closest atoms and distances in Å follow each position.
Sites, in units of the cell vectors:
Te (0.0000, 0.0000, 0.0000)  4 Cl 2.85, 4 Ir 2.85
Ir (0.5000, 0.5000, 0.5000)  4 Ir 2.85, 4 Cl 2.85
Ir (0.7500, 0.7500, 0.7500)  4 Te 2.85, 4 Ir 2.85
Cl (0.2500, 0.2500, 0.2500)  4 Ir 2.85, 4 Te 2.85

Results
E above lowest polymorph in meV per atom: 784
Space group: F-43m
Electronic total energy in eV/atom: -4.79
Formation energy (no corrections) in eV per atom: 0.885

***

Entry 14:
Below is crystalline CdPdAu4 at its relaxed geometry, with properties calculated at the GGA-PBE level.

abc: 8.6681 8.6681 4.7799
angles: 91.04 91.04 142.20
Closest atoms and distances in Å follow each position.
Sites, in units of the cell vectors:
Cd (0.1245, 0.8755, 0.7500)  2 Pd 2.81, 10 Au 3.04-3.14
Cd (0.8755, 0.1245, 0.2500)  2 Pd 2.81, 10 Au 3.04-3.14
Pd (0.3760, 0.6240, 0.2500)  2 Cd 2.81, 8 Au 3.00-3.08
Pd (0.6240, 0.3760, 0.7500)  2 Cd 2.81, 8 Au 3.00-3.08
Au (0.0425, 0.4602, 0.7505)  5 Au 2.74-2.82, 1 Pd 3.04, 2 Cd 3.04-3.07
Au (0.2133, 0.2959, 0.7550)  5 Au 2.75-2.86, 2 Pd 3.00-3.04, 2 Cd 3.06-3.07
Au (0.2959, 0.2133, 0.2550)  5 Au 2.75-2.86, 2 Pd 3.00-3.04, 2 Cd 3.06-3.07
Au (0.4602, 0.0425, 0.2505)  5 Au 2.74-2.82, 1 Pd 3.04, 2 Cd 3.04-3.07
Au (0.5398, 0.9575, 0.7495)  5 Au 2.74-2.82, 1 Pd 3.04, 2 Cd 3.04-3.07
Au (0.7041, 0.7867, 0.7450)  5 Au 2.75-2.86, 2 Pd 3.00-3.04, 2 Cd 3.06-3.07
Au (0.7867, 0.7041, 0.2450)  5 Au 2.75-2.86, 2 Pd 3.00-3.04, 2 Cd 3.06-3.07
Au (0.9575, 0.5398, 0.2495)  5 Au 2.74-2.82, 1 Pd 3.04, 2 Cd 3.04-3.07

Results
E above lowest polymorph in meV per atom: 0
Space group: C2/c
Electronic total energy in eV/atom: -3.30
ΔH_f (0 K) in kJ/mol of formula units: -56

***

Entry 15:
Below is crystalline BeSb3Pd at its relaxed geometry, with properties calculated at the GGA-PBE level.

abc: 5.2167 5.2167 5.2167
angles: 90.00 90.00 90.00
Closest atoms and distances in Å follow each position.
Sites, in units of the cell vectors:
Be (0.0000, 0.0000, 0.0000)  12 Sb 3.69
Sb (0.0000, 0.5000, 0.5000)  2 Pd 2.61
Sb (0.5000, 0.0000, 0.5000)  2 Pd 2.61
Sb (0.5000, 0.5000, 0.0000)  2 Pd 2.61
Pd (0.5000, 0.5000, 0.5000)  6 Sb 2.61

Results
E above lowest polymorph in meV per atom: 340
Space group: Pm-3m
Electronic total energy in eV/atom: -3.41
Formation energy (no corrections) in eV per atom: 0.842

***

Entry 16:
Below is crystalline PmTm2Tl at its relaxed geometry, with properties calculated at the GGA-PBE level.

abc: 11.1181 11.1181 11.1181
angles: 18.53 18.53 18.53
Closest atoms and distances in Å follow each position.
Sites, in units of the cell vectors:
Pm (0.0000, 0.0000, 0.0000)  6 Tm 3.56-3.58, 6 Pm 3.58
Tm (0.5781, 0.5781, 0.5781)  3 Tl 3.29, 3 Pm 3.56, 6 Tm 3.58
Tm (0.7557, 0.7557, 0.7557)  3 Tl 3.28, 3 Pm 3.58, 6 Tm 3.58
Tl (0.1666, 0.1666, 0.1666)  6 Tm 3.28-3.29, 6 Tl 3.58

Results
E above lowest polymorph in meV per atom: 78
Space group: R3m
Electronic total energy in eV/atom: -4.11
ΔH_f (0 K) in kJ/mol of formula units: -37

***

Entry 17:
Below is crystalline MgTl5Br8 at its relaxed geometry, with properties calculated at the GGA-PBE level.

abc: 9.3216 9.3216 9.3216
angles: 105.59 105.59 117.55
Closest atoms and distances in Å follow each position.
Sites, in units of the cell vectors:
Mg (0.0000, 0.0000, 0.0000)  4 Br 2.53
Tl (0.1280, 0.1175, 0.5038)  6 Br 3.25-3.51
Tl (0.3757, 0.8720, 0.9895)  6 Br 3.25-3.51
Tl (0.6137, 0.6243, 0.4962)  6 Br 3.25-3.51
Tl (0.7500, 0.2500, 0.5000)  4 Br 2.89
Tl (0.8825, 0.3863, 0.0105)  6 Br 3.25-3.51
Br (0.0727, 0.8355, 0.1517)  1 Mg 2.53
Br (0.0790, 0.9273, 0.7628)  1 Mg 2.53
Br (0.1117, 0.4311, 0.7646)  1 Tl 2.89
Br (0.1645, 0.3162, 0.2372)  1 Mg 2.53
Br (0.5689, 0.3335, 0.6806)  1 Tl 2.89
Br (0.6529, 0.8883, 0.3194)  1 Tl 2.89
Br (0.6665, 0.3471, 0.2354)  1 Tl 2.89
Br (0.6838, 0.9210, 0.8483)  1 Mg 2.53

Results
Space group: I-4
Electronic total energy in eV/atom: -2.81
Formation energy (no corrections) in eV per atom: -0.895

***

Entry 18:
Below is crystalline Hf2AlGa4 at its relaxed geometry, with properties calculated at the GGA-PBE level.

abc: 7.5272 7.5272 7.5272
angles: 142.79 142.79 53.64
Closest atoms and distances in Å follow each position.
Sites, in units of the cell vectors:
Hf (0.1105, 0.1105, 0.0000)  5 Ga 2.74-2.82, 1 Hf 2.97
Hf (0.8895, 0.8895, 0.0000)  5 Ga 2.74-2.82, 1 Hf 2.97
Al (0.5000, 0.5000, 0.0000)  6 Ga 2.40-2.49
Ga (0.0000, 0.5000, 0.5000)  2 Al 2.40
Ga (0.3144, 0.3144, 0.0000)  1 Al 2.49, 1 Hf 2.74
Ga (0.5000, 0.0000, 0.5000)  2 Al 2.40
Ga (0.6856, 0.6856, 0.0000)  1 Al 2.49, 1 Hf 2.74

Results
E above lowest polymorph in meV per atom: 624
Space group: I4/mmm
Electronic total energy in eV/atom: -4.79
ΔH_f (0 K) in kJ/mol of formula units: 213

***

Entry 19:
Below is crystalline BeFe2Co at its relaxed geometry, with properties calculated at the GGA-PBE level.

abc: 2.4097 3.8401 4.6112
angles: 90.00 101.53 90.00
Closest atoms and distances in Å follow each position.
Sites, in units of the cell vectors:
Be (0.0000, 0.0000, 0.0000)  4 Fe 2.36, 2 Co 2.38, 2 Be 2.41
Fe (0.2465, 0.5000, 0.7562)  4 Fe 2.33-2.42, 2 Be 2.36, 2 Co 2.40
Fe (0.7535, 0.5000, 0.2438)  4 Fe 2.33-2.42, 2 Be 2.36, 2 Co 2.40
Co (0.5000, 0.0000, 0.5000)  2 Be 2.38, 4 Fe 2.40, 2 Co 2.41

Results
Space group: P2/m
Electronic total energy in eV/atom: -6.98
ΔH_f (0 K) in kJ/mol of formula units: -15

***

Entry 20:
Below is crystalline SrLa2Al2 at its relaxed geometry, with properties calculated at the GGA-PBE level.

abc: 6.9964 6.9964 6.9964
angles: 135.40 135.40 64.90
Closest atoms and distances in Å follow each position.
Sites, in units of the cell vectors:
Sr (0.0000, 0.0000, 0.0000)  8 Al 3.97, 10 La 4.07-4.33
La (0.3670, 0.3670, 0.0000)  4 Al 2.99, 1 La 3.14
La (0.6330, 0.6330, 0.0000)  4 Al 2.99, 1 La 3.14
Al (0.2500, 0.7500, 0.5000)  4 La 2.99
Al (0.7500, 0.2500, 0.5000)  4 La 2.99

Results
E above lowest polymorph in meV per atom: 276
Space group: I4/mmm
Electronic total energy in eV/atom: -3.73
ΔH_f (0 K) in kJ/mol of formula units: 36